Entry 1:
# GGA-PBE Hf6Sc2Ag, optimized geometry
# raw total energy = -74.53 eV/cell
# symmetry = P-6m2 (187)
data_Hf6Sc2Ag
_chemical_formula_sum 'Hf6 Sc2 Ag1'
_cell_length_a 3.185
_cell_length_b 3.185
_cell_length_c 23.029
_cell_angle_alpha 90.00
_cell_angle_beta 90.00
_cell_angle_gamma 120.00
_symmetry_space_group_name_H-M 'P 1'
_symmetry_Int_Tables_number 1
_symmetry_space_group_name_Hall 'P 1'
loop_
_atom_site_label
_atom_site_fract_x
_atom_site_fract_y
_atom_site_fract_z
Ag1 0.333 0.667 0.000
Sc1 0.667 0.333 0.672
Sc2 0.667 0.333 0.328
Hf1 0.667 0.333 0.895
Hf2 0.333 0.667 0.436
Hf3 0.333 0.667 0.210
Hf4 0.667 0.333 0.105
Hf5 0.333 0.667 0.790
Hf6 0.333 0.667 0.564

=====

Entry 2:
# GGA-PBE TaInP, optimized geometry
# raw total energy = -18.75 eV/cell
# excess energy over the best structure of this formula in the dataset = 0.671 eV per atom
# symmetry = F-43m (216)
data_TaInP
_chemical_formula_sum 'Ta1 In1 P1'
_cell_length_a 4.373
_cell_length_b 4.373
_cell_length_c 4.373
_cell_angle_alpha 60.00
_cell_angle_beta 60.00
_cell_angle_gamma 60.00
_symmetry_space_group_name_H-M 'P 1'
_symmetry_Int_Tables_number 1
_symmetry_space_group_name_Hall 'P 1'
loop_
_atom_site_label
_atom_site_fract_x
_atom_site_fract_y
_atom_site_fract_z
P1 0.750 0.750 0.750
In1 0.500 0.500 0.500
Ta1 0.000 0.000 0.000

=====

| no. | calculated formation energy (kcal/mol of atoms) |
| --- | --- |
| 1 | 1.80 |
| 2 | 9.60 |